# CuNiRh2 | Alexandria | PBE-GGA | relaxed
# M_tot = 0.36 μB per formula unit
# D(E_F) = 16.1 states/eV per cell
# total energy = -6.060 eV/atom
data_CuNiRh2
_chemical_formula_sum 'Cu3 Ni3 Rh6'
_space_group_name_H-M_alt 'R 3 m'
_space_group_IT_number 160
_space_group_name_Hall 'R 3 -2"'
_cell_length_a 2.6757
_cell_length_b 2.6757
_cell_length_c 25.2967
_cell_angle_alpha 90.00
_cell_angle_beta 90.00
_cell_angle_gamma 120.00
loop_
_atom_site_label
_atom_site_fract_x
_atom_site_fract_y
_atom_site_fract_z
Cu1 0.0000 0.0000 0.0000
Ni1 0.0000 0.0000 0.2548
Rh1 0.0000 0.0000 0.5063
Rh2 0.0000 0.0000 0.7522